Density functional theory data (PBE) for a relaxed structure of CeErSO2.

Calculated values
E_form (uncorrected): -2.983 eV/atom
Total magnetic moment: 2.0 Bohr magnetons per cell
Uncorrected energy: -7.891 eV/atom

The structure in CIF format:
```
data_CeErSO2
_symmetry_space_group_name_H-M 'I 4 m m'
_symmetry_Int_Tables_number 107
_symmetry_space_group_name_Hall 'I 4 -2'
_cell_length_a 3.8106
_cell_length_b 3.8106
_cell_length_c 12.0433
_cell_angle_alpha 90.00
_cell_angle_beta 90.00
_cell_angle_gamma 90.00
loop_
_atom_site_label
_atom_site_type_symbol
_atom_site_fract_x
_atom_site_fract_y
_atom_site_fract_z
_atom_site_occupancy
Ce1 Ce 0.0000 0.0000 0.0000 1
Er1 Er 0.0000 0.0000 0.2992 1
S1 S 0.0000 0.0000 0.6474 1
O1 O 0.0000 0.5000 0.3914 1
```